1.
# Ag3MoS (GGA-PBE, relaxed)
data_Ag3MoS
_chemical_formula_sum 'Ag3 Mo1 S1'
_symmetry_space_group_name_H-M 'P 1'
_symmetry_Int_Tables_number 1
_cell_length_a 4.8373
_cell_length_b 4.8373
_cell_length_c 4.8373
_cell_angle_alpha 90.00
_cell_angle_beta 90.00
_cell_angle_gamma 90.00
loop_
_symmetry_equiv_pos_as_xyz
'x,y,z'
loop_
_atom_site_label
_atom_site_type_symbol
_atom_site_fract_x
_atom_site_fract_y
_atom_site_fract_z
Mo1 Mo 0.5000 0.5000 0.5000
S1 S 0.0000 0.0000 0.0000
Ag1 Ag 0.0000 0.5000 0.0000
Ag2 Ag 0.0000 0.0000 0.5000
Ag3 Ag 0.5000 0.0000 0.0000
# * raw formation energy: 1052 meV/atom
# * symmetry: Pm-3m, No. 221

2.
# Pr3Er4In (GGA-PBE, relaxed)
data_Pr3Er4In
_chemical_formula_sum 'Pr3 Er4 In1'
_symmetry_space_group_name_H-M 'P 1'
_symmetry_Int_Tables_number 1
_cell_length_a 5.7988
_cell_length_b 5.9301
_cell_length_c 8.3557
_cell_angle_alpha 109.69
_cell_angle_beta 110.30
_cell_angle_gamma 90.00
loop_
_symmetry_equiv_pos_as_xyz
'x,y,z'
loop_
_atom_site_label
_atom_site_type_symbol
_atom_site_fract_x
_atom_site_fract_y
_atom_site_fract_z
Pr1 Pr 0.0000 0.5000 0.0000
Pr2 Pr 0.8733 0.9010 0.7467
Pr3 Pr 0.1267 0.0990 0.2533
In1 In 0.5000 0.0000 0.0000
Er1 Er 0.7460 0.2949 0.4921
Er2 Er 0.2540 0.7051 0.5079
Er3 Er 0.3776 0.3380 0.7553
Er4 Er 0.6224 0.6620 0.2447
# * formation enthalpy at 0 K: -0.0286 eV/atom
# * symmetry: C2/m, No. 12

3.
# LiYSc4S8 (GGA-PBE, relaxed)
data_LiYSc4S8
_chemical_formula_sum 'Li1 Y1 Sc4 S8'
_symmetry_space_group_name_H-M 'P 1'
_symmetry_Int_Tables_number 1
_cell_length_a 7.5974
_cell_length_b 7.5974
_cell_length_c 7.7231
_cell_angle_alpha 60.54
_cell_angle_beta 60.54
_cell_angle_gamma 60.00
loop_
_symmetry_equiv_pos_as_xyz
'x,y,z'
loop_
_atom_site_label
_atom_site_type_symbol
_atom_site_fract_x
_atom_site_fract_y
_atom_site_fract_z
Li1 Li 0.3739 0.3739 0.8784
Y1 Y 0.0033 0.0033 0.9902
Sc1 Sc 0.6271 0.6271 0.1186
Sc2 Sc 0.0055 0.4827 0.5062
Sc3 Sc 0.4827 0.0055 0.5062
Sc4 Sc 0.0055 0.0055 0.5062
S1 S 0.2508 0.7695 0.7290
S2 S 0.7695 0.2508 0.7290
S3 S 0.2508 0.2508 0.7290
S4 S 0.2413 0.2413 0.2761
S5 S 0.7496 0.2320 0.2688
S6 S 0.2320 0.7496 0.2688
S7 S 0.7496 0.7496 0.2688
S8 S 0.7585 0.7585 0.7246
# * raw formation energy: -1853 meV/atom
# * symmetry: R3m, No. 160

4.
# KVSi (GGA-PBE, relaxed)
data_KVSi
_chemical_formula_sum 'K2 V2 Si2'
_symmetry_space_group_name_H-M 'P 1'
_symmetry_Int_Tables_number 1
_cell_length_a 3.4176
_cell_length_b 4.5390
_cell_length_c 11.7412
_cell_angle_alpha 79.80
_cell_angle_beta 89.02
_cell_angle_gamma 67.86
loop_
_symmetry_equiv_pos_as_xyz
'x,y,z'
loop_
_atom_site_label
_atom_site_type_symbol
_atom_site_fract_x
_atom_site_fract_y
_atom_site_fract_z
K1 K 0.8043 0.3544 0.3125
K2 K 0.1957 0.6456 0.6875
Si1 Si 0.9232 0.1658 0.8995
Si2 Si 0.0768 0.8342 0.1005
V1 V 0.6438 0.7186 0.9539
V2 V 0.3562 0.2814 0.0461
# * raw formation energy: 37 meV/atom
# * symmetry: P-1, No. 2

5.
# CsHfI2N (GGA-PBE, relaxed)
data_CsHfI2N
_chemical_formula_sum 'Cs1 Hf1 I2 N1'
_symmetry_space_group_name_H-M 'P 1'
_symmetry_Int_Tables_number 1
_cell_length_a 5.5890
_cell_length_b 8.4528
_cell_length_c 5.5890
_cell_angle_alpha 90.00
_cell_angle_beta 90.00
_cell_angle_gamma 90.00
loop_
_symmetry_equiv_pos_as_xyz
'x,y,z'
loop_
_atom_site_label
_atom_site_type_symbol
_atom_site_fract_x
_atom_site_fract_y
_atom_site_fract_z
Cs1 Cs 0.0000 0.5000 0.0000
I1 I 0.0000 0.0000 0.5000
I2 I 0.5000 0.0000 0.0000
Hf1 Hf 0.0000 0.0000 0.0000
N1 N 0.5000 0.5000 0.5000
# * raw formation energy: 779 meV/atom
# * symmetry: P4/mmm, No. 123

6.
# CsSc2I (GGA-PBE, relaxed)
data_CsSc2I
_chemical_formula_sum 'Cs1 Sc2 I1'
_symmetry_space_group_name_H-M 'P 1'
_symmetry_Int_Tables_number 1
_cell_length_a 5.4680
_cell_length_b 5.4680
_cell_length_c 5.4680
_cell_angle_alpha 60.00
_cell_angle_beta 60.00
_cell_angle_gamma 60.00
loop_
_symmetry_equiv_pos_as_xyz
'x,y,z'
loop_
_atom_site_label
_atom_site_type_symbol
_atom_site_fract_x
_atom_site_fract_y
_atom_site_fract_z
Cs1 Cs 0.5000 0.5000 0.5000
I1 I 0.0000 0.0000 0.0000
Sc1 Sc 0.2500 0.2500 0.2500
Sc2 Sc 0.7500 0.7500 0.7500
# * raw formation energy: 642 meV/atom
# * symmetry: Fm-3m, No. 225

7.
# TbPm2UN4 (GGA-PBE, relaxed)
data_TbPm2UN4
_chemical_formula_sum 'Tb1 Pm2 U1 N4'
_symmetry_space_group_name_H-M 'P 1'
_symmetry_Int_Tables_number 1
_cell_length_a 3.5343
_cell_length_b 6.0537
_cell_length_c 6.1211
_cell_angle_alpha 109.04
_cell_angle_beta 90.00
_cell_angle_gamma 90.00
loop_
_symmetry_equiv_pos_as_xyz
'x,y,z'
loop_
_atom_site_label
_atom_site_type_symbol
_atom_site_fract_x
_atom_site_fract_y
_atom_site_fract_z
Tb1 Tb 0.5000 0.5000 0.0000
Pm1 Pm 0.5000 0.0000 0.5000
Pm2 Pm 0.0000 0.5000 0.5000
U1 U 0.0000 0.0000 0.0000
N1 N 0.5000 0.2257 0.2182
N2 N 0.5000 0.7743 0.7818
N3 N 0.0000 0.2347 0.7791
N4 N 0.0000 0.7653 0.2209
# * raw formation energy: -1518 meV/atom
# * symmetry: P2/m, No. 10

8.
# TmBe2SiRh2 (GGA-PBE, relaxed)
data_TmBe2SiRh2
_chemical_formula_sum 'Tm1 Be2 Si1 Rh2'
_symmetry_space_group_name_H-M 'P 1'
_symmetry_Int_Tables_number 1
_cell_length_a 4.0327
_cell_length_b 4.0327
_cell_length_c 5.5347
_cell_angle_alpha 90.00
_cell_angle_beta 90.00
_cell_angle_gamma 90.00
loop_
_symmetry_equiv_pos_as_xyz
'x,y,z'
loop_
_atom_site_label
_atom_site_type_symbol
_atom_site_fract_x
_atom_site_fract_y
_atom_site_fract_z
Tm1 Tm 0.0000 0.0000 0.5000
Be1 Be 0.5000 0.0000 0.0000
Be2 Be 0.0000 0.5000 0.0000
Si1 Si 0.0000 0.0000 0.0000
Rh1 Rh 0.5000 0.5000 0.7520
Rh2 Rh 0.5000 0.5000 0.2480
# * raw formation energy: -106 meV/atom
# * symmetry: P4/mmm, No. 123

9.
# Ba2ZnBr (GGA-PBE, relaxed)
data_Ba2ZnBr
_chemical_formula_sum 'Ba2 Zn1 Br1'
_symmetry_space_group_name_H-M 'P 1'
_symmetry_Int_Tables_number 1
_cell_length_a 4.8237
_cell_length_b 4.8260
_cell_length_c 6.8837
_cell_angle_alpha 90.00
_cell_angle_beta 90.00
_cell_angle_gamma 90.00
loop_
_symmetry_equiv_pos_as_xyz
'x,y,z'
loop_
_atom_site_label
_atom_site_type_symbol
_atom_site_fract_x
_atom_site_fract_y
_atom_site_fract_z
Zn1 Zn 0.5000 0.5000 0.8748
Ba1 Ba 0.0000 0.0000 0.8752
Ba2 Ba 0.5000 0.5000 0.3749
Br1 Br 0.0000 0.0000 0.3752
# * raw formation energy: -839 meV/atom
# * symmetry: P4/mmm, No. 123

10.
# ZnCoMo2Pt (GGA-PBE, relaxed)
data_ZnCoMo2Pt
_chemical_formula_sum 'Zn1 Co1 Mo2 Pt1'
_symmetry_space_group_name_H-M 'P 1'
_symmetry_Int_Tables_number 1
_cell_length_a 4.8107
_cell_length_b 4.6245
_cell_length_c 4.8107
_cell_angle_alpha 90.00
_cell_angle_beta 90.00
_cell_angle_gamma 90.00
loop_
_symmetry_equiv_pos_as_xyz
'x,y,z'
loop_
_atom_site_label
_atom_site_type_symbol
_atom_site_fract_x
_atom_site_fract_y
_atom_site_fract_z
Mo1 Mo 0.0000 0.0000 0.5000
Mo2 Mo 0.5000 0.0000 0.0000
Co1 Co 0.5000 0.5000 0.5000
Zn1 Zn 0.0000 0.5000 0.0000
Pt1 Pt 0.0000 0.0000 0.0000
# * formation enthalpy at 0 K: 1.6759 eV/atom
# * symmetry: P4/mmm, No. 123

11.
# SbHIrNF (GGA-PBE, relaxed)
data_SbHIrNF
_chemical_formula_sum 'Sb2 H2 Ir2 N2 F2'
_symmetry_space_group_name_H-M 'P 1'
_symmetry_Int_Tables_number 1
_cell_length_a 4.9495
_cell_length_b 3.1277
_cell_length_c 9.9932
_cell_angle_alpha 90.00
_cell_angle_beta 110.61
_cell_angle_gamma 90.00
loop_
_symmetry_equiv_pos_as_xyz
'x,y,z'
loop_
_atom_site_label
_atom_site_type_symbol
_atom_site_fract_x
_atom_site_fract_y
_atom_site_fract_z
Sb1 Sb 0.6284 0.0000 0.1736
Sb2 Sb 0.6284 0.5000 0.6736
H1 H 0.1664 0.0000 0.5340
H2 H 0.1664 0.5000 0.0340
Ir1 Ir 0.0539 0.0000 0.7707
Ir2 Ir 0.0539 0.5000 0.2707
N1 N 0.2982 0.0000 0.6415
N2 N 0.2982 0.5000 0.1415
F1 F 0.5208 0.0000 0.9542
F2 F 0.5208 0.5000 0.4542
# * symmetry: Cm, No. 8

12.
# Pa2Ge2Ir (GGA-PBE, relaxed)
data_Pa2Ge2Ir
_chemical_formula_sum 'Pa2 Ge2 Ir1'
_symmetry_space_group_name_H-M 'P 1'
_symmetry_Int_Tables_number 1
_cell_length_a 3.8658
_cell_length_b 5.6747
_cell_length_c 5.6747
_cell_angle_alpha 62.56
_cell_angle_beta 70.09
_cell_angle_gamma 70.09
loop_
_symmetry_equiv_pos_as_xyz
'x,y,z'
loop_
_atom_site_label
_atom_site_type_symbol
_atom_site_fract_x
_atom_site_fract_y
_atom_site_fract_z
Pa1 Pa 0.7772 0.7228 0.7228
Pa2 Pa 0.2228 0.2772 0.2772
Ge1 Ge 0.5000 0.7177 0.2823
Ge2 Ge 0.5000 0.2823 0.7177
Ir1 Ir 0.0000 0.0000 0.0000
# * formation enthalpy at 0 K: -0.5950 eV/atom
# * symmetry: Immm, No. 71

13.
# LiAl2As2 (GGA-PBE, relaxed)
data_LiAl2As2
_chemical_formula_sum 'Li1 Al2 As2'
_symmetry_space_group_name_H-M 'P 1'
_symmetry_Int_Tables_number 1
_cell_length_a 4.8090
_cell_length_b 4.8090
_cell_length_c 5.6819
_cell_angle_alpha 64.96
_cell_angle_beta 64.96
_cell_angle_gamma 90.00
loop_
_symmetry_equiv_pos_as_xyz
'x,y,z'
loop_
_atom_site_label
_atom_site_type_symbol
_atom_site_fract_x
_atom_site_fract_y
_atom_site_fract_z
As1 As 0.7500 0.2500 0.5000
As2 As 0.2500 0.7500 0.5000
Al1 Al 0.3589 0.3589 0.2822
Al2 Al 0.6411 0.6411 0.7178
Li1 Li 0.0000 0.0000 0.0000
# * formation enthalpy at 0 K: -0.1458 eV/atom
# * symmetry: I4/mmm, No. 139

Short version: VASP energy = -3.65; -4.44; -6.62; -5.18; -3.67; -3.12; -8.86; -5.45; -2.54; -5.54; -5.44; -8.01; -3.89 eV/atom, in the order given.